An optimized crystal structure of ZnCoSnF6. Source: Alexandria via LeMat-Bulk, functional PBE+U.

POSCAR file:
```
ZnCoSnF6
1.0
5.443 0.002 -0.002
2.723 4.715 0.000
0.002 -0.007 5.131
Sn F Co Zn
1 6 1 1
Direct
0.000 0.000 0.000 Sn
0.641 0.360 0.716 F
0.359 0.641 0.284 F
0.999 0.359 0.284 F
0.999 0.642 0.716 F
0.642 0.999 0.284 F
0.359 0.000 0.716 F
0.666 0.667 0.500 Co
0.333 0.333 0.500 Zn
```

Results
VASP energy, eV/atom: -4.634